This record from OQMD describes a relaxed YTmGe4Os2 crystal. The functional is PBE.

Properties
**Energy**: -6.916 eV/atom
**Total magnetization**: 0.005 μB/f.u.
**Space group**: Pm
**V**: 159 Å³/cell

a = 4.455 Å, b = 4.434 Å, c = 8.306 Å
α = 90.00°, β = 104.38°, γ = 90.00°
Positions (direct):
1 Y 0.000 0.000 0.000
2 Tm 0.783 0.500 0.577
3 Ge 0.076 0.500 0.296
4 Ge 0.355 0.000 0.705
5 Ge 0.433 0.500 0.876
6 Ge 0.720 0.000 0.288
7 Os 0.290 0.000 0.411
8 Os 0.507 0.500 0.172